(1)
Here is Pa2CuSi after structural relaxation from Alexandria. Energies are from PBE.

Results
V: 20.48 Å³/atom
Relative energy among the computed polymorphs: 190 meV/atom
Raw total energy: -7.15 eV per atom
DOS(E_F): 8.1 states/eV/cell
E_form (uncorrected): -0.024 eV/atom

Unit cell a=4.8746 b=4.8746 c=4.8746 alpha=60.00 beta=60.00 gamma=60.00
Atoms (fractional coordinates):
Pa  0.2500  0.2500  0.2500
Pa  0.7500  0.7500  0.7500
Cu  0.0000  0.0000  0.0000
Si  0.5000  0.5000  0.5000

=====

(2)
Here is LaTbPmEr after structural relaxation from Alexandria. Energies are from PBE.

Results
V: 33.82 Å³/atom
Energy of formation: 40.5 kJ/mol of formula units
Relative energy among the computed polymorphs: 0 meV/atom
Raw total energy: -4.61 eV per atom
DOS(E_F): 7.5 states/eV/cell

Unit cell a=5.7619 b=5.7619 c=5.7619 alpha=60.00 beta=60.00 gamma=60.00
Atoms (fractional coordinates):
La  0.0000  0.0000  0.0000
Tb  0.7500  0.7500  0.7500
Pm  0.5000  0.5000  0.5000
Er  0.2500  0.2500  0.2500

=====

(3)
Here is Ac5GaSi6 after structural relaxation from Alexandria. Energies are from PBE.

Results
V: 28.86 Å³/atom
Raw total energy: -5.17 eV per atom
DOS(E_F): 4.1 states/eV/cell
E_form (uncorrected): -0.490 eV/atom

Unit cell a=9.0176 b=9.0176 c=6.1091 alpha=99.48 beta=99.48 gamma=130.64
Atoms (fractional coordinates):
Ac  0.0000  0.0000  0.0000
Ac  0.1867  0.8133  0.5000
Ac  0.3893  0.6107  0.0000
Ac  0.6107  0.3893  0.0000
Ac  0.8133  0.1867  0.5000
Ga  0.5000  0.5000  0.5000
Si  0.0323  0.6229  0.9004
Si  0.1765  0.1765  0.5942
Si  0.3771  0.9677  0.0996
Si  0.6229  0.0323  0.9004
Si  0.8235  0.8235  0.4058
Si  0.9677  0.3771  0.0996

=====

(4)
Here is Dy4CrS7 after structural relaxation from Alexandria. Energies are from PBE.

Results
V: 21.61 Å³/atom
Raw total energy: -6.52 eV per atom
DOS(E_F): 2.8 states/eV/cell
E_form (uncorrected): -1.772 eV/atom

Unit cell a=6.4948 b=6.4948 c=11.4357 alpha=105.52 beta=105.52 gamma=34.05
Atoms (fractional coordinates):
Dy  0.0000  0.0000  0.0000
Dy  0.3861  0.3861  0.5859
Dy  0.5683  0.5683  0.3421
Dy  0.6948  0.6948  0.7853
Cr  0.7967  0.7967  0.2018
S  0.0336  0.0336  0.7241
S  0.1763  0.1763  0.2523
S  0.3587  0.3587  0.8353
S  0.4076  0.4076  0.1329
S  0.6591  0.6591  0.0069
S  0.7248  0.7248  0.5614
S  0.9331  0.9331  0.4107

=====

(5)
Here is CdAg15Sn4 after structural relaxation from Alexandria. Energies are from PBE.

Results
V: 19.26 Å³/atom
Energy of formation: 22.3 kJ/mol of formula units
Raw total energy: -2.97 eV per atom
DOS(E_F): 6.6 states/eV/cell

Unit cell a=4.3007 b=4.3007 c=20.8268 alpha=90.00 beta=90.00 gamma=90.00
Atoms (fractional coordinates):
Cd  0.0000  0.0000  0.0000
Ag  0.0000  0.5000  0.0979
Ag  0.0000  0.5000  0.2984
Ag  0.0000  0.5000  0.5000
Ag  0.0000  0.5000  0.7016
Ag  0.0000  0.5000  0.9021
Ag  0.5000  0.0000  0.0979
Ag  0.5000  0.0000  0.2984
Ag  0.5000  0.0000  0.5000
Ag  0.5000  0.0000  0.7016
Ag  0.5000  0.0000  0.9021
Ag  0.5000  0.5000  0.0000
Ag  0.5000  0.5000  0.1974
Ag  0.5000  0.5000  0.3994
Ag  0.5000  0.5000  0.6006
Ag  0.5000  0.5000  0.8026
Sn  0.0000  0.0000  0.1988
Sn  0.0000  0.0000  0.3992
Sn  0.0000  0.0000  0.6008
Sn  0.0000  0.0000  0.8012

=====

(6)
Here is Tb4Ho3Tm5 after structural relaxation from Alexandria. Energies are from PBE.

Results
V: 31.59 Å³/atom
Energy of formation: 286.1 kJ/mol of formula units
Relative energy among the computed polymorphs: 226 meV/atom
Raw total energy: -4.30 eV per atom
DOS(E_F): 19.3 states/eV/cell

Unit cell a=8.4332 b=8.4332 c=9.1926 alpha=114.74 beta=114.74 gamma=40.38
Atoms (fractional coordinates):
Tb  0.0819  0.0819  0.4420
Tb  0.2138  0.2138  0.8799
Tb  0.7862  0.7862  0.1201
Tb  0.9181  0.9181  0.5580
Ho  0.2106  0.2106  0.2348
Ho  0.5000  0.5000  0.0000
Ho  0.7894  0.7894  0.7652
Tm  0.0000  0.0000  0.0000
Tm  0.3278  0.3278  0.6152
Tm  0.4281  0.4281  0.2996
Tm  0.5719  0.5719  0.7004
Tm  0.6722  0.6722  0.3848

=====

(7)
Here is Ba3YI after structural relaxation from Alexandria. Energies are from PBE.

Results
V: 57.41 Å³/atom
Relative energy among the computed polymorphs: 0 meV/atom
Raw total energy: -2.82 eV per atom
DOS(E_F): 5.3 states/eV/cell
E_form (uncorrected): -0.062 eV/atom

Unit cell a=6.5967 b=6.5967 c=6.5967 alpha=90.00 beta=90.00 gamma=90.00
Atoms (fractional coordinates):
Ba  0.0000  0.0000  0.5000
Ba  0.0000  0.5000  0.0000
Ba  0.5000  0.0000  0.0000
Y  0.5000  0.5000  0.5000
I  0.0000  0.0000  0.0000

=====

(8)
Here is LaReTc3 after structural relaxation from Alexandria. Energies are from PBE.

Results
V: 20.00 Å³/atom
Energy of formation: 1253.9 kJ/mol of formula units
Relative energy among the computed polymorphs: 1720 meV/atom
Raw total energy: -7.10 eV per atom
DOS(E_F): 11.2 states/eV/cell

Unit cell a=4.6418 b=4.6418 c=4.6418 alpha=90.00 beta=90.00 gamma=90.00
Atoms (fractional coordinates):
La  0.0000  0.0000  0.0000
Re  0.5000  0.5000  0.5000
Tc  0.0000  0.0000  0.5000
Tc  0.0000  0.5000  0.0000
Tc  0.5000  0.0000  0.0000

=====

(9)
Here is K3Ac3YTe8 after structural relaxation from Alexandria. Energies are from PBE.

Results
V: 43.71 Å³/atom
Raw total energy: -4.52 eV per atom
DOS(E_F): 13.8 states/eV/cell
E_form (uncorrected): -1.371 eV/atom

Unit cell a=9.5112 b=9.5112 c=10.0240 alpha=118.42 beta=118.42 gamma=59.92
Atoms (fractional coordinates):
K  0.0000  0.0000  0.0000
K  0.0000  0.5000  0.0000
K  0.5000  0.0000  0.0000
Ac  0.0000  0.5000  0.5000
Ac  0.5000  0.0000  0.5000
Ac  0.5000  0.5000  0.5000
Y  0.0000  0.0000  0.5000
Te  0.2275  0.2275  0.7109
Te  0.2274  0.7563  0.7109
Te  0.2437  0.7726  0.2891
Te  0.2580  0.2580  0.2742
Te  0.7420  0.7420  0.7258
Te  0.7563  0.2274  0.7109
Te  0.7726  0.2437  0.2891
Te  0.7725  0.7725  0.2891

=====

(10)
Here is BaZr2Cl after structural relaxation from Alexandria. Energies are from PBE.

Results
V: 28.48 Å³/atom
Relative energy among the computed polymorphs: 746 meV/atom
Raw total energy: -4.78 eV per atom
DOS(E_F): 5.8 states/eV/cell
E_form (uncorrected): 0.435 eV/atom

Unit cell a=5.4414 b=5.4414 c=5.4414 alpha=60.00 beta=60.00 gamma=60.00
Atoms (fractional coordinates):
Ba  0.0000  0.0000  0.0000
Zr  0.2500  0.2500  0.2500
Zr  0.5000  0.5000  0.5000
Cl  0.7500  0.7500  0.7500

=====

(11)
Here is YOsRu2 after structural relaxation from Alexandria. Energies are from PBE.

Results
V: 16.91 Å³/atom
Energy of formation: 70.4 kJ/mol of formula units
Relative energy among the computed polymorphs: 22 meV/atom
Raw total energy: -8.88 eV per atom
DOS(E_F): 3.8 states/eV/cell

Unit cell a=4.3431 b=5.5559 c=5.5559 alpha=30.30 beta=90.00 gamma=90.00
Atoms (fractional coordinates):
Y  0.0000  0.0000  0.0000
Os  0.5000  0.6704  0.6704
Ru  0.0000  0.2531  0.2531
Ru  0.5000  0.3796  0.3796

=====

(12)
Here is Pm3Be2Ge4 after structural relaxation from Alexandria. Energies are from PBE.

Results
V: 19.91 Å³/atom
Energy of formation: -605.7 kJ/mol of formula units
Relative energy among the computed polymorphs: 0 meV/atom
Raw total energy: -5.16 eV per atom
DOS(E_F): 3.2 states/eV/cell

Unit cell a=5.8666 b=5.8666 c=8.1608 alpha=97.76 beta=97.76 gamma=40.13
Atoms (fractional coordinates):
Pm  0.0000  0.0000  0.0000
Pm  0.3365  0.3365  0.3336
Pm  0.6635  0.6635  0.6664
Be  0.3919  0.3919  0.7175
Be  0.6081  0.6081  0.2825
Ge  0.0638  0.0638  0.3812
Ge  0.2875  0.2875  0.9315
Ge  0.7125  0.7125  0.0685
Ge  0.9362  0.9362  0.6188